Computed, not measured: an optimized crystal structure of Cs3La2MgS6 at the PBE level of DFT.

The space group is C2/m (No. 12) and the conventional cell measures 7.3401, 12.7217 and 8.4021 Å, with angles of 90.00, 106.97 and 90.00 degrees. Symmetry generates all atoms from Cs at (0.0000, 0.0000, 0.0000), Cs at (0.0000, 0.3332, 0.0000), La at (0.0000, 0.1664, 0.5000), Mg at (0.0000, 0.5000, 0.5000), S at (0.2199, 0.3409, 0.6826) and S at (0.2423, 0.0000, 0.6834).

For the uncorrected formation energy, the calculation gives -1.505 eV per atom. Its total magnetization is 0.0 μB per formula unit. The density of states at the Fermi level is 39.81 states/eV per cell. The total energy comes out at -4.74 eV/atom. For the mass density, the calculation gives 3.95 Mg/m³.